--- one ---
# TbTaNO

TbTaNO after structural relaxation (PBE, the Open Quantum Materials Database).

Unit cell a=4.431 b=4.431 c=5.729 alpha=90.00 beta=90.00 gamma=90.00
Positions (direct):
Tb 0.250 0.750 0.000
Tb 0.750 0.250 0.000
Ta 0.250 0.250 0.470
Ta 0.750 0.750 0.530
N 0.250 0.250 0.130
N 0.750 0.750 0.870
O 0.250 0.750 0.500
O 0.750 0.250 0.500

Calculated values
Symmetry = No. 129
Calculated volume = 56.2 Å³/f.u.

---

--- two ---
# TbTaNO

TbTaNO after structural relaxation (PBE, the Open Quantum Materials Database).

Unit cell a=6.284 b=7.544 c=5.110 alpha=90.00 beta=90.00 gamma=90.00
Positions (direct):
Tb 0.062 0.139 0.000
Tb 0.438 0.139 0.500
Tb 0.562 0.861 0.000
Tb 0.938 0.861 0.500
Ta 0.128 0.659 0.002
Ta 0.372 0.659 0.502
Ta 0.628 0.341 0.002
Ta 0.872 0.341 0.502
N 0.073 0.147 0.504
N 0.427 0.147 0.004
N 0.573 0.853 0.504
N 0.927 0.853 0.004
O 0.063 0.554 0.624
O 0.437 0.554 0.124
O 0.563 0.446 0.624
O 0.937 0.446 0.124

Calculated values
Symmetry = No. 29
Calculated volume = 60.6 Å³/f.u.

---

Short version: two is the most stable of them.

---

--- one ---
# TbTaNO

TbTaNO after structural relaxation (PBE, the Open Quantum Materials Database).

Unit cell a=4.004 b=4.004 c=8.101 alpha=90.00 beta=90.00 gamma=90.00
Positions (direct):
Tb 0.250 0.250 0.130
Tb 0.750 0.750 0.870
Ta 0.250 0.750 0.500
Ta 0.750 0.250 0.500
N 0.250 0.250 0.581
N 0.750 0.750 0.419
O 0.250 0.750 0.000
O 0.750 0.250 0.000

Calculated values
Symmetry = No. 129
Calculated volume = 64.9 Å³/f.u.

---

--- two ---
# TbTaNO

TbTaNO after structural relaxation (PBE, the Open Quantum Materials Database).

Unit cell a=4.069 b=5.360 c=5.096 alpha=90.00 beta=90.00 gamma=90.00
Positions (direct):
Tb 0.000 0.233 0.000
Tb 0.000 0.767 0.500
Ta 0.500 0.300 0.502
Ta 0.500 0.700 0.002
N 0.000 0.308 0.501
N 0.000 0.692 0.001
O 0.500 0.006 0.761
O 0.500 0.994 0.261

Calculated values
Symmetry = No. 26
Calculated volume = 55.6 Å³/f.u.

---

Short version: one is the most stable of them.

---

--- one ---
# TaTeNO

TaTeNO after structural relaxation (PBE, the Open Quantum Materials Database).

Unit cell a=4.104 b=4.104 c=7.376 alpha=90.00 beta=90.00 gamma=90.00
Positions (direct):
Ta 0.250 0.750 0.000
Ta 0.750 0.250 0.000
Te 0.250 0.250 0.332
Te 0.750 0.750 0.668
N 0.250 0.250 0.952
N 0.750 0.750 0.048
O 0.250 0.750 0.500
O 0.750 0.250 0.500

Calculated values
Symmetry = No. 129
Calculated volume = 62.1 Å³/f.u.

---

--- two ---
# TaTeNO

TaTeNO after structural relaxation (PBE, the Open Quantum Materials Database).

Unit cell a=4.171 b=4.171 c=9.292 alpha=90.00 beta=90.00 gamma=90.00
Positions (direct):
Ta 0.250 0.250 0.055
Ta 0.750 0.750 0.945
Te 0.250 0.750 0.500
Te 0.750 0.250 0.500
N 0.250 0.250 0.241
N 0.750 0.750 0.759
O 0.250 0.750 0.000
O 0.750 0.250 0.000

Calculated values
Symmetry = No. 129
Calculated volume = 80.8 Å³/f.u.

---

Short version: two is the most stable of them.

---

--- one ---
# TmTaNO

TmTaNO after structural relaxation (PBE, the Open Quantum Materials Database).

Unit cell a=3.235 b=6.053 c=6.079 alpha=90.00 beta=90.00 gamma=90.00
Positions (direct):
Tm 0.000 0.163 0.000
Tm 0.000 0.837 0.500
Ta 0.500 0.335 0.538
Ta 0.500 0.665 0.038
N 0.500 0.391 0.855
N 0.500 0.609 0.355
O 0.000 0.170 0.352
O 0.000 0.830 0.852

Calculated values
Symmetry = No. 26
Calculated volume = 59.5 Å³/f.u.

---

--- two ---
# TmTaNO

TmTaNO after structural relaxation (PBE, the Open Quantum Materials Database).

Unit cell a=6.242 b=7.434 c=5.007 alpha=90.00 beta=90.00 gamma=90.00
Positions (direct):
Tm 0.068 0.137 0.000
Tm 0.432 0.137 0.500
Tm 0.568 0.863 0.000
Tm 0.932 0.863 0.500
Ta 0.131 0.658 0.004
Ta 0.369 0.658 0.504
Ta 0.631 0.342 0.004
Ta 0.869 0.342 0.504
N 0.077 0.146 0.505
N 0.423 0.146 0.005
N 0.577 0.854 0.505
N 0.923 0.854 0.005
O 0.031 0.574 0.606
O 0.469 0.574 0.106
O 0.531 0.426 0.606
O 0.969 0.426 0.106

Calculated values
Symmetry = No. 29
Calculated volume = 58.1 Å³/f.u.

---

--- three ---
# TmTaNO

TmTaNO after structural relaxation (PBE, the Open Quantum Materials Database).

Unit cell a=3.381 b=5.961 c=5.721 alpha=90.00 beta=90.00 gamma=90.00
Positions (direct):
Tm 0.000 0.170 0.000
Tm 0.000 0.830 0.500
Ta 0.500 0.391 0.430
Ta 0.500 0.609 0.930
N 0.000 0.200 0.399
N 0.000 0.800 0.899
O 0.500 0.270 0.787
O 0.500 0.730 0.287

Calculated values
Symmetry = No. 26
Calculated volume = 57.7 Å³/f.u.

---

--- four ---
# TmTaNO

TmTaNO after structural relaxation (PBE, the Open Quantum Materials Database).

Unit cell a=3.974 b=3.974 c=7.817 alpha=90.00 beta=90.00 gamma=90.00
Positions (direct):
Tm 0.250 0.250 0.125
Tm 0.750 0.750 0.875
Ta 0.250 0.750 0.500
Ta 0.750 0.250 0.500
N 0.250 0.250 0.590
N 0.750 0.750 0.410
O 0.250 0.750 0.000
O 0.750 0.250 0.000

Calculated values
Symmetry = No. 129
Calculated volume = 61.7 Å³/f.u.

---

Short version: four is the most stable of them.

---

--- one ---
# TmTaNO

TmTaNO after structural relaxation (PBE, the Open Quantum Materials Database).

Unit cell a=6.422 b=7.595 c=4.497 alpha=90.00 beta=90.00 gamma=90.00
Positions (direct):
Tm 0.048 0.128 0.000
Tm 0.452 0.128 0.500
Tm 0.548 0.872 0.000
Tm 0.952 0.872 0.500
Ta 0.109 0.635 0.001
Ta 0.391 0.635 0.501
Ta 0.609 0.365 0.001
Ta 0.891 0.365 0.501
N 0.073 0.592 0.501
N 0.427 0.592 0.001
N 0.573 0.408 0.501
N 0.927 0.408 0.001
O 0.100 0.149 0.500
O 0.400 0.149 0.000
O 0.600 0.851 0.500
O 0.900 0.851 0.000

Calculated values
Symmetry = No. 29
Calculated volume = 54.8 Å³/f.u.

---

--- two ---
# TmTaNO

TmTaNO after structural relaxation (PBE, the Open Quantum Materials Database).

Unit cell a=4.677 b=4.677 c=4.426 alpha=90.00 beta=90.00 gamma=90.00
Positions (direct):
Tm 0.250 0.750 0.000
Tm 0.750 0.250 0.000
Ta 0.250 0.250 0.499
Ta 0.750 0.750 0.501
N 0.250 0.250 0.000
N 0.750 0.750 0.000
O 0.250 0.750 0.500
O 0.750 0.250 0.500

Calculated values
Symmetry = No. 129
Calculated volume = 48.4 Å³/f.u.

---

Short version: one is the most stable of them.

---

--- one ---
# YTaNO

YTaNO after structural relaxation (PBE, the Open Quantum Materials Database).

Unit cell a=3.517 b=6.086 c=5.806 alpha=90.00 beta=90.00 gamma=90.00
Positions (direct):
Y 0.000 0.146 0.000
Y 0.000 0.854 0.500
Ta 0.500 0.320 0.537
Ta 0.500 0.680 0.037
N 0.500 0.390 0.869
N 0.500 0.610 0.369
O 0.000 0.241 0.378
O 0.000 0.759 0.878

Calculated values
Symmetry = No. 26
Calculated volume = 62.1 Å³/f.u.

---

--- two ---
# YTaNO

YTaNO after structural relaxation (PBE, the Open Quantum Materials Database).

Unit cell a=4.017 b=4.017 c=7.980 alpha=90.00 beta=90.00 gamma=90.00
Positions (direct):
Y 0.250 0.250 0.129
Y 0.750 0.750 0.871
Ta 0.250 0.750 0.500
Ta 0.750 0.250 0.500
N 0.250 0.250 0.578
N 0.750 0.750 0.422
O 0.250 0.750 0.000
O 0.750 0.250 0.000

Calculated values
Symmetry = No. 129
Calculated volume = 64.4 Å³/f.u.

---

Short version: two is the most stable of them.